Entry i
## MnRe2Br (PBE)

Data for MnRe2Br after structural relaxation.

Cell lengths 3.1279, 3.1279, 6.6618 Å; angles 90.00, 90.00, 90.00 degrees
Last column: nearest neighbours and their distance in Å.
Element x y z (fractional)
Br 0.5000 0.5000 0.2500  8 Re 3.03, 4 Br 3.13, 2 Mn 3.33
Mn 0.5000 0.5000 0.7500  8 Re 2.55
Re 0.0000 0.0000 0.9392  1 Re 2.52, 4 Mn 2.55
Re 0.0000 0.0000 0.5608  1 Re 2.52, 4 Mn 2.55

Calculated values
spin magnetization	2.05	Bohr magnetons per cell
density of states at the Fermi level	3.3	states/eV per cell



Entry ii
## MnRe2Br (PBE)

Data for MnRe2Br after structural relaxation.

Cell lengths 4.8136, 4.8136, 4.6932 Å; angles 86.60, 86.60, 35.58 degrees
Last column: nearest neighbours and their distance in Å.
Element x y z (fractional)
Br 0.5025 0.5025 0.4597  1 Mn 2.45, 3 Re 2.59-2.70
Mn 0.2678 0.2678 0.2356  1 Br 2.45, 3 Re 2.56-2.74
Re 0.9997 0.9997 0.0057  2 Br 2.59, 3 Re 2.70-2.71, 3 Mn 2.74-2.75
Re 0.7300 0.7300 0.7989  2 Mn 2.56, 1 Br 2.70, 3 Re 2.70-2.71

Calculated values
spin magnetization	2.41	Bohr magnetons per cell
density of states at the Fermi level	2.7	states/eV per cell



Entry iii
## MnRe2Br (PBE)

Data for MnRe2Br after structural relaxation.

Cell lengths 4.3758, 4.3758, 4.3758 Å; angles 60.00, 60.00, 60.00 degrees
Last column: nearest neighbours and their distance in Å.
Element x y z (fractional)
Re 0.2500 0.2500 0.2500  4 Br 2.68, 4 Mn 2.68
Re 0.7500 0.7500 0.7500  4 Br 2.68, 4 Mn 2.68
Mn 0.0000 0.0000 0.0000  8 Re 2.68
Br 0.5000 0.5000 0.5000  8 Re 2.68

Calculated values
spin magnetization	2.08	Bohr magnetons per cell
density of states at the Fermi level	2.2	states/eV per cell



Which is most stable, and by how much? entry i, by 127 meV/atom.



Entry i
## MnRe2Br (PBE)

Data for MnRe2Br after structural relaxation.

Cell lengths 4.4642, 4.4642, 4.4642 Å; angles 60.00, 60.00, 60.00 degrees
Last column: nearest neighbours and their distance in Å.
Element x y z (fractional)
Br 0.5000 0.5000 0.5000  4 Mn 2.73, 4 Re 2.73
Mn 0.7500 0.7500 0.7500  4 Re 2.73, 4 Br 2.73
Re 0.0000 0.0000 0.0000  4 Re 2.73, 4 Mn 2.73
Re 0.2500 0.2500 0.2500  4 Br 2.73, 4 Re 2.73

Calculated values
spin magnetization	3.06	Bohr magnetons per cell
density of states at the Fermi level	5.2	states/eV per cell



Entry ii
## MnRe2Br (PBE)

Data for MnRe2Br after structural relaxation.

Cell lengths 2.8428, 2.8428, 9.5268 Å; angles 90.00, 90.00, 114.70 degrees
Last column: nearest neighbours and their distance in Å.
Element x y z (fractional)
Br 0.0000 0.0000 0.5472  2 Mn 2.57, 4 Br 2.84
Mn 0.5000 0.5000 0.7639  2 Br 2.57, 2 Re 2.62, 4 Mn 2.84
Re 0.0000 0.0000 0.9871  6 Re 2.56-2.84, 2 Mn 2.62
Re 0.5000 0.5000 0.2018  6 Re 2.56-2.84

Calculated values
spin magnetization	3.54	Bohr magnetons per cell
density of states at the Fermi level	3.6	states/eV per cell



Which is most stable, and by how much? entry ii, by 482 meV/atom.